## Ba2TaRu (PBE-GGA)

Data for a relaxed structure of Ba2TaRu.

a = 7.454 Å, b = 4.303 Å, c = 9.776 Å
α = 90.00°, β = 104.92°, γ = 90.00°
Fractional coordinates of all 8 atoms:
Ba: 0.000 0.000 0.000
Ba: 0.185 0.000 0.543
Ba: 0.500 0.500 0.000
Ba: 0.685 0.500 0.543
Ta: 0.426 0.000 0.274
Ta: 0.926 0.500 0.274
Ru: 0.257 0.500 0.267
Ru: 0.757 0.000 0.267

Results
ΔE_f (meV/atom): 262
Uncorrected energy (eV/atom): -5.981